Below is crystalline BaNaLa2H at its relaxed geometry, with properties calculated at the PBE level.

Values from the calculation:
The total energy comes out at -3.25 eV per atom. Its crystal system is tetragonal.

a b c (Å): 5.168 5.168 6.185
angles (deg): 90.00 90.00 90.00
Element x y z (fractional)
1 Na 0.500 0.500 0.500
2 Ba 0.000 0.000 0.500
3 H 0.000 0.000 0.000
4 La 0.000 0.500 0.000
5 La 0.500 0.000 0.000

***

Below is crystalline Pr4Y5Ho at its relaxed geometry, with properties calculated at the PBE level.

Values from the calculation:
Its crystal system is tetragonal. The value obtained for the formation enthalpy at 0 K is 0.19 eV/f.u. The calculation puts the distance to the lowest polymorph of the same formula at 0.0 kJ per mole of atoms.

a b c (Å): 3.638 3.638 25.436
angles (deg): 90.00 90.00 90.00
Element x y z (fractional)
1 Pr 0.000 0.000 0.198
2 Pr 0.000 0.000 0.399
3 Pr 0.000 0.000 0.601
4 Pr 0.000 0.000 0.802
5 Y 0.500 0.500 0.096
6 Y 0.500 0.500 0.298
7 Y 0.500 0.500 0.500
8 Y 0.500 0.500 0.702
9 Y 0.500 0.500 0.904
10 Ho 0.000 0.000 0.000

***

Below is crystalline Ac6Co2Ag3 at its relaxed geometry, with properties calculated at the PBE level.

Values from the calculation:
Its crystal system is trigonal. The value obtained for the formation enthalpy at 0 K is -0.02 eV/f.u.

a b c (Å): 5.394 5.394 13.556
angles (deg): 78.52 78.52 60.00
Element x y z (fractional)
1 Ac 0.910 0.910 0.271
2 Ac 0.090 0.090 0.729
3 Ac 0.810 0.810 0.571
4 Ac 0.190 0.190 0.429
5 Ac 0.635 0.635 0.094
6 Ac 0.365 0.365 0.906
7 Co 0.528 0.528 0.415
8 Co 0.472 0.472 0.585
9 Ag 0.000 0.000 0.000
10 Ag 0.723 0.723 0.832
11 Ag 0.277 0.277 0.168

***

Below is crystalline LiFe2Se at its relaxed geometry, with properties calculated at the PBE level.

Values from the calculation:
Its crystal system is trigonal. For the formation energy without anion corrections, the calculation gives 111 meV/atom.

a b c (Å): 7.876 7.876 7.876
angles (deg): 22.17 22.17 22.17
Element x y z (fractional)
1 Fe 0.000 0.000 0.000
2 Fe 0.261 0.261 0.261
3 Li 0.498 0.498 0.498
4 Se 0.741 0.741 0.741

***

What did the fourth record say?
Below is crystalline LiFe2Se at its relaxed geometry, with properties calculated at the PBE level.

Values from the calculation:
Its crystal system is trigonal. For the formation energy without anion corrections, the calculation gives 111 meV/atom.

a b c (Å): 7.876 7.876 7.876
angles (deg): 22.17 22.17 22.17
Element x y z (fractional)
1 Fe 0.000 0.000 0.000
2 Fe 0.261 0.261 0.261
3 Li 0.498 0.498 0.498
4 Se 0.741 0.741 0.741